First-principles (PBE-GGA) data for a relaxed Ga2CuSbI crystal, as listed in Alexandria.

Cell and atoms, written as POSCAR:
```
Ga2CuSbI
1.0
5.8092 0.0000 0.0000
0.0000 5.8092 0.0000
0.0000 0.0000 4.8300
Ga Cu Sb I
2 1 1 1
direct
0.0000 0.5000 0.0000
0.5000 0.0000 0.0000
0.0000 0.0000 0.5000
0.0000 0.0000 0.0000
0.5000 0.5000 0.5000
```

Raw formation energy (eV/atom): 0.216
DOS at the Fermi energy (states/eV/f.u.): 2.19
Calculated total energy (eV per atom): -2.948